# Ni5Sn3I12 (PBE, optimized geometry)
# total moment = 24.47 Bohr magnetons per cell
# E = -3.069 eV per atom
# crystal system = cubic
data_Ni5Sn3I12
_symmetry_space_group_name_H-M 'P 1'
_symmetry_Int_Tables_number 1
_symmetry_space_group_name_Hall 'P 1'
_cell_length_a 14.913
_cell_length_b 14.913
_cell_length_c 14.913
_cell_angle_alpha 109.47
_cell_angle_beta 109.47
_cell_angle_gamma 109.47
loop_
_atom_site_label
_atom_site_type_symbol
_atom_site_fract_x
_atom_site_fract_y
_atom_site_fract_z
Ni1 Ni 0.000 0.000 0.000
Ni2 Ni 0.000 0.000 0.500
Ni3 Ni 0.000 0.500 0.000
Ni4 Ni 0.000 0.500 0.500
Ni5 Ni 0.125 0.750 0.875
Ni6 Ni 0.125 0.875 0.250
Ni7 Ni 0.250 0.125 0.875
Ni8 Ni 0.250 0.625 0.375
Ni9 Ni 0.375 0.250 0.625
Ni10 Ni 0.375 0.625 0.750
Ni11 Ni 0.500 0.000 0.000
Ni12 Ni 0.500 0.000 0.500
Ni13 Ni 0.500 0.500 0.000
Ni14 Ni 0.500 0.500 0.500
Ni15 Ni 0.625 0.375 0.250
Ni16 Ni 0.625 0.750 0.375
Ni17 Ni 0.750 0.375 0.625
Ni18 Ni 0.750 0.875 0.125
Ni19 Ni 0.875 0.125 0.750
Ni20 Ni 0.875 0.250 0.125
Sn1 Sn 0.125 0.250 0.375
Sn2 Sn 0.125 0.375 0.750
Sn3 Sn 0.250 0.375 0.125
Sn4 Sn 0.250 0.875 0.625
Sn5 Sn 0.375 0.125 0.250
Sn6 Sn 0.375 0.750 0.125
Sn7 Sn 0.625 0.250 0.875
Sn8 Sn 0.625 0.875 0.750
Sn9 Sn 0.750 0.125 0.375
Sn10 Sn 0.750 0.625 0.875
Sn11 Sn 0.875 0.625 0.250
Sn12 Sn 0.875 0.750 0.625
I1 I 0.022 0.203 0.116
I2 I 0.022 0.319 0.906
I3 I 0.087 0.703 0.681
I4 I 0.087 0.884 0.406
I5 I 0.094 0.616 0.413
I6 I 0.094 0.978 0.681
I7 I 0.116 0.022 0.203
I8 I 0.116 0.594 0.913
I9 I 0.181 0.203 0.587
I10 I 0.181 0.478 0.594
I11 I 0.203 0.116 0.022
I12 I 0.203 0.587 0.181
I13 I 0.297 0.319 0.913
I14 I 0.297 0.478 0.384
I15 I 0.319 0.906 0.022
I16 I 0.319 0.913 0.297
I17 I 0.384 0.297 0.478
I18 I 0.384 0.587 0.906
I19 I 0.406 0.087 0.884
I20 I 0.406 0.819 0.522
I21 I 0.413 0.094 0.616
I22 I 0.413 0.819 0.797
I23 I 0.478 0.384 0.297
I24 I 0.478 0.594 0.181
I25 I 0.522 0.406 0.819
I26 I 0.522 0.616 0.703
I27 I 0.587 0.181 0.203
I28 I 0.587 0.906 0.384
I29 I 0.594 0.181 0.478
I30 I 0.594 0.913 0.116
I31 I 0.616 0.413 0.094
I32 I 0.616 0.703 0.522
I33 I 0.681 0.087 0.703
I34 I 0.681 0.094 0.978
I35 I 0.703 0.522 0.616
I36 I 0.703 0.681 0.087
I37 I 0.797 0.413 0.819
I38 I 0.797 0.884 0.978
I39 I 0.819 0.522 0.406
I40 I 0.819 0.797 0.413
I41 I 0.884 0.406 0.087
I42 I 0.884 0.978 0.797
I43 I 0.906 0.022 0.319
I44 I 0.906 0.384 0.587
I45 I 0.913 0.116 0.594
I46 I 0.913 0.297 0.319
I47 I 0.978 0.681 0.094
I48 I 0.978 0.797 0.884



# Ni2SnI (PBE, optimized geometry)
# total moment = 0.00 Bohr magnetons per cell
# energy above the most stable polymorph in this dataset = 0.000 kcal/mol of atoms
# E = -3.981 eV per atom
# crystal system = tetragonal
data_Ni2SnI
_symmetry_space_group_name_H-M 'P 1'
_symmetry_Int_Tables_number 1
_symmetry_space_group_name_Hall 'P 1'
_cell_length_a 6.769
_cell_length_b 6.769
_cell_length_c 6.769
_cell_angle_alpha 127.04
_cell_angle_beta 127.04
_cell_angle_gamma 78.19
loop_
_atom_site_label
_atom_site_type_symbol
_atom_site_fract_x
_atom_site_fract_y
_atom_site_fract_z
Ni1 Ni 0.118 0.625 0.993
Ni2 Ni 0.375 0.368 0.493
Ni3 Ni 0.632 0.125 0.007
Ni4 Ni 0.875 0.882 0.507
Sn1 Sn 0.250 0.750 0.500
Sn2 Sn 0.500 0.500 0.000
I1 I 0.000 0.000 0.000
I2 I 0.750 0.250 0.500



# NiSn3I (PBE, optimized geometry)
# total moment = 0.00 Bohr magnetons per cell
# energy above the most stable polymorph in this dataset = 0.000 kcal/mol of atoms
# E = -3.847 eV per atom
# crystal system = cubic
data_NiSn3I
_symmetry_space_group_name_H-M 'P 1'
_symmetry_Int_Tables_number 1
_symmetry_space_group_name_Hall 'P 1'
_cell_length_a 5.130
_cell_length_b 5.130
_cell_length_c 5.130
_cell_angle_alpha 90.00
_cell_angle_beta 90.00
_cell_angle_gamma 90.00
loop_
_atom_site_label
_atom_site_type_symbol
_atom_site_fract_x
_atom_site_fract_y
_atom_site_fract_z
Ni1 Ni 0.000 0.000 0.000
Sn1 Sn 0.000 0.000 0.500
Sn2 Sn 0.000 0.500 0.000
Sn3 Sn 0.500 0.000 0.000
I1 I 0.500 0.500 0.500



# NiSnI2 (PBE, optimized geometry)
# total moment = 1.31 Bohr magnetons per cell
# energy above the most stable polymorph in this dataset = 0.000 kcal/mol of atoms
# E = -3.129 eV per atom
# crystal system = trigonal
data_NiSnI2
_symmetry_space_group_name_H-M 'P 1'
_symmetry_Int_Tables_number 1
_symmetry_space_group_name_Hall 'P 1'
_cell_length_a 9.714
_cell_length_b 9.714
_cell_length_c 9.714
_cell_angle_alpha 23.01
_cell_angle_beta 23.01
_cell_angle_gamma 23.01
loop_
_atom_site_label
_atom_site_type_symbol
_atom_site_fract_x
_atom_site_fract_y
_atom_site_fract_z
Ni1 Ni 0.000 0.000 0.000
Sn1 Sn 0.500 0.500 0.500
I1 I 0.388 0.388 0.388
I2 I 0.612 0.612 0.612



# Ta2NiSnI (PBE, optimized geometry)
# total moment = 0.00 Bohr magnetons per cell
# E = -5.417 eV per atom
# crystal system = tetragonal
data_Ta2NiSnI
_symmetry_space_group_name_H-M 'P 1'
_symmetry_Int_Tables_number 1
_symmetry_space_group_name_Hall 'P 1'
_cell_length_a 5.114
_cell_length_b 5.114
_cell_length_c 4.449
_cell_angle_alpha 90.00
_cell_angle_beta 90.00
_cell_angle_gamma 90.00
loop_
_atom_site_label
_atom_site_type_symbol
_atom_site_fract_x
_atom_site_fract_y
_atom_site_fract_z
Ta1 Ta 0.000 0.500 0.000
Ta2 Ta 0.500 0.000 0.000
Ni1 Ni 0.000 0.000 0.500
Sn1 Sn 0.500 0.500 0.500
I1 I 0.000 0.000 0.000



# NiSnTeI2 (PBE, optimized geometry)
# total moment = 0.00 Bohr magnetons per cell
# energy above the most stable polymorph in this dataset = 0.000 kcal/mol of atoms
# E = -3.107 eV per atom
# crystal system = tetragonal
data_NiSnTeI2
_symmetry_space_group_name_H-M 'P 1'
_symmetry_Int_Tables_number 1
_symmetry_space_group_name_Hall 'P 1'
_cell_length_a 5.235
_cell_length_b 5.235
_cell_length_c 5.283
_cell_angle_alpha 90.00
_cell_angle_beta 90.00
_cell_angle_gamma 90.00
loop_
_atom_site_label
_atom_site_type_symbol
_atom_site_fract_x
_atom_site_fract_y
_atom_site_fract_z
Ni1 Ni 0.000 0.000 0.000
Sn1 Sn 0.500 0.500 0.500
Te1 Te 0.000 0.000 0.500
I1 I 0.000 0.500 0.000
I2 I 0.500 0.000 0.000